Record 1
{"formula": "Pu2BeSn", "functional": "PBE", "state": "optimized geometry", "cell": [[4.031, 0.000, 0.000], [0.000, 4.031, 0.000], [0.000, 0.000, 5.497]], "species": ["Pu", "Pu", "Be", "Sn"], "frac_coords": [[0.000, 0.000, 0.246], [0.000, 0.000, 0.754], [0.500, 0.500, 0.000], [0.500, 0.500, 0.500]], "dft_energy_ev_per_atom": -9.057, "e_form_mev_per_atom": 41}



Record 2
{"formula": "PuTaBe17", "functional": "PBE", "state": "optimized geometry", "cell": [[3.759, 2.170, 3.670], [-3.759, 2.170, 3.670], [0.000, -4.341, 3.670]], "species": ["Pu", "Ta", "Be", "Be", "Be", "Be", "Be", "Be", "Be", "Be", "Be", "Be", "Be", "Be", "Be", "Be", "Be", "Be", "Be"], "frac_coords": [[0.000, 0.000, 0.000], [0.673, 0.673, 0.673], [0.050, 0.341, 0.623], [0.050, 0.623, 0.341], [0.181, 0.679, 0.679], [0.245, 0.245, 0.245], [0.341, 0.050, 0.623], [0.341, 0.623, 0.050], [0.342, 0.342, 0.836], [0.342, 0.836, 0.342], [0.437, 0.437, 0.437], [0.498, 0.992, 0.992], [0.623, 0.050, 0.341], [0.623, 0.341, 0.050], [0.679, 0.181, 0.679], [0.679, 0.679, 0.181], [0.836, 0.342, 0.342], [0.992, 0.498, 0.992], [0.992, 0.992, 0.498]], "dft_energy_ev_per_atom": -4.808, "e_form_mev_per_atom": -96}



Record 3
{"formula": "PuTaBe4", "functional": "PBE", "state": "optimized geometry", "cell": [[0.000, 3.355, 3.355], [3.355, 0.000, 3.355], [3.355, 3.355, 0.000]], "species": ["Pu", "Ta", "Be", "Be", "Be", "Be"], "frac_coords": [[0.000, 0.000, 0.000], [0.750, 0.750, 0.750], [0.377, 0.377, 0.377], [0.377, 0.377, 0.870], [0.377, 0.870, 0.377], [0.870, 0.377, 0.377]], "dft_energy_ev_per_atom": -6.730, "e_form_mev_per_atom": 118}